Record 1
Computed, not measured: a relaxed Tb5Nd4Sm4 crystal at the GGA-PBE level of DFT.

The structure belongs to space group I4/m (No. 87); the cell edges are 13.079, 13.079 and 5.097 Å and the angles 90.00°, 90.00° and 90.00°. The distinct sites, in fractional coordinates, are Tb at (0.000, 0.000, 0.000), Tb at (0.039, 0.810, 0.500), Nd at (0.078, 0.617, 0.000) and Sm at (0.153, 0.229, 0.000).

The uncorrected energy comes out at -4.686 eV/atom. As for the density of states at the Fermi level: 35.8 states/eV/cell. Its calculated density is 7.51 g/cm3. Its formation energy from the elements is 0.0141 eV per atom.


Record 2
Computed, not measured: a relaxed Tb4Nd4Sm5 crystal at the GGA-PBE level of DFT.

The structure belongs to space group I4/m (No. 87); the cell edges are 13.089, 13.089 and 5.109 Å and the angles 90.00°, 90.00° and 90.00°. The distinct sites, in fractional coordinates, are Tb at (0.154, 0.231, 0.000), Nd at (0.077, 0.617, 0.000), Sm at (0.000, 0.000, 0.000) and Sm at (0.039, 0.809, 0.500).

The uncorrected energy comes out at -4.693 eV/atom. As for the density of states at the Fermi level: 35.7 states/eV/cell. Its calculated density is 7.45 g/cm3. Its formation energy from the elements is 0.0138 eV per atom.


Record 3
Computed, not measured: a relaxed Tb3Nd2Sm2 crystal at the GGA-PBE level of DFT.

The structure belongs to space group C2/m (No. 12); the cell edges are 16.938, 3.520 and 8.851 Å and the angles 90.00°, 116.41° and 90.00°. The distinct sites, in fractional coordinates, are Tb at (0.000, 0.000, 0.000), Tb at (0.221, 0.000, 0.146), Nd at (0.079, 0.000, 0.704) and Sm at (0.139, 0.500, 0.407).

The uncorrected energy comes out at -4.570 eV/atom. As for the density of states at the Fermi level: 22.7 states/eV/cell. Its calculated density is 7.49 g/cm3. Its formation energy from the elements is 0.1252 eV per atom.


Record 4
Computed, not measured: a relaxed Tb6NdSm2 crystal at the GGA-PBE level of DFT.

The structure belongs to space group C2/m (No. 12); the cell edges are 16.718, 10.377 and 3.505 Å and the angles 90.00°, 102.03° and 90.00°. The distinct sites, in fractional coordinates, are Tb at (0.000, 0.184, 0.000), Tb at (0.178, 0.333, 0.679), Nd at (0.000, 0.500, 0.500) and Sm at (0.158, 0.000, 0.656).

The uncorrected energy comes out at -4.563 eV/atom. As for the density of states at the Fermi level: 28.0 states/eV/cell. Its calculated density is 7.81 g/cm3. Its formation energy from the elements is 0.1027 eV per atom.


Record 5
Computed, not measured: a relaxed Tb3Nd4Sm3 crystal at the GGA-PBE level of DFT.

The structure belongs to space group Amm2 (No. 38); the cell edges are 3.848, 13.323 and 13.367 Å and the angles 90.00°, 90.00° and 90.00°. The distinct sites, in fractional coordinates, are Tb at (0.000, 0.000, 0.000), Tb at (0.500, 0.248, 0.081), Nd at (0.500, 0.000, 0.200), Nd at (0.500, 0.000, 0.463), Nd at (0.500, 0.131, 0.832), Sm at (0.000, 0.000, 0.663) and Sm at (0.000, 0.169, 0.331).

The uncorrected energy comes out at -4.604 eV/atom. As for the density of states at the Fermi level: 20.4 states/eV/cell. Its calculated density is 7.29 g/cm3. Its formation energy from the elements is 0.1084 eV per atom.


Record 6
Computed, not measured: a relaxed Tb2Nd2Sm7 crystal at the GGA-PBE level of DFT.

The structure belongs to space group C2/m (No. 12); the cell edges are 9.737, 9.444 and 8.491 Å and the angles 90.00°, 103.39° and 90.00°. The distinct sites, in fractional coordinates, are Tb at (0.000, 0.188, 0.000), Nd at (0.100, 0.500, 0.345), Sm at (0.000, 0.000, 0.500), Sm at (0.195, 0.500, 0.015) and Sm at (0.198, 0.296, 0.684).

The uncorrected energy comes out at -4.538 eV/atom. As for the density of states at the Fermi level: 30.7 states/eV/cell. Its calculated density is 7.25 g/cm3. Its formation energy from the elements is 0.1735 eV per atom.